## Rb3In7Hg2 (GGA-PBE)

Data for a relaxed Rb3In7Hg2 crystal.

Cell lengths 6.6199, 6.6199, 30.5493 Å; angles 90.00, 90.00, 120.00 degrees
Closest atoms and distances in Å follow each position.
Space group R-3m (No. 166, hexagonal axes)
Inequivalent atoms, fractional coordinates:
Rb 0.0000 0.0000 0.0000  6 Hg 3.82, 12 In 4.13
Rb 0.0000 0.0000 0.1428  12 In 3.82-3.89, 3 Rb 4.09
In 0.0000 0.0000 0.5000  6 In 3.27
In 0.0070 0.5035 0.9194  2 Hg 3.09-3.15, 5 In 3.24-3.38
Hg 0.0000 0.0000 0.3356  6 In 3.09-3.15

Summary:
N(E_F) (states/eV/cell): 15.78
Total DFT energy (no corrections) (eV per atom): -1.989
Total magnetization (μB/f.u.): 0.00
Formation energy (eV per atom): -0.099